This record from the Alexandria database describes an optimized crystal structure of ZrW. The functional is PBE-GGA.

Results
Calculated total energy: -10.39 eV per atom
SG: P4/mmm (123)
Spin magnetization: 0.000 μB/f.u.

Cell lengths 3.9279, 3.9279, 4.9259 Å; angles 90.00, 90.00, 90.00 degrees
Fractional coordinates of all 4 atoms:
W1 0.2500 0.2500 0.5000
W2 0.7500 0.7500 0.5000
Zr1 0.2500 0.7500 0.0000
Zr2 0.7500 0.2500 0.0000

This record from the Alexandria database describes an optimized crystal structure of Lu2NpHg. The functional is PBE-GGA.

Results
Calculated total energy: -5.53 eV per atom
SG: P4/mmm (123)
Spin magnetization: 4.477 μB/f.u.

Cell lengths 3.3706, 3.3706, 8.9826 Å; angles 90.00, 90.00, 90.00 degrees
Fractional coordinates of all 4 atoms:
Np1 0.5000 0.5000 0.0000
Lu1 0.0000 0.0000 0.7331
Lu2 0.0000 0.0000 0.2669
Hg1 0.5000 0.5000 0.5000

This record from the Alexandria database describes an optimized crystal structure of Ag3HgF3. The functional is PBE-GGA.

Results
SG: P2_1/c (14)
Offset from the most stable computed form: 0.000 eV/atom
Spin magnetization: 0.000 μB/f.u.
ΔE_f (raw): -634 kJ/mol of formula units

Cell lengths 6.2266, 9.1551, 9.5246 Å; angles 66.53, 90.00, 90.00 degrees
Fractional coordinates of all 28 atoms:
Ag1 0.5753 0.9131 0.7015
Ag2 0.9247 0.9131 0.2015
Ag3 0.8393 0.6796 0.9238
Ag4 0.6607 0.6796 0.4238
Ag5 0.4395 0.5841 0.8431
Ag6 0.0605 0.5841 0.3431
Ag7 0.9395 0.4159 0.6569
Ag8 0.5605 0.4159 0.1569
Ag9 0.3393 0.3204 0.5762
Ag10 0.1607 0.3204 0.0762
Ag11 0.0753 0.0869 0.7985
Ag12 0.4247 0.0869 0.2985
Hg1 0.4604 0.7734 0.0126
Hg2 0.0396 0.7734 0.5126
Hg3 0.9604 0.2266 0.4874
Hg4 0.5396 0.2266 0.9874
F1 0.0859 0.8310 0.0163
F2 0.4141 0.8310 0.5163
F3 0.9777 0.9003 0.6750
F4 0.5624 0.4595 0.6830
F5 0.5223 0.9003 0.1750
F6 0.9376 0.4595 0.1830
F7 0.0624 0.5405 0.8170
F8 0.4777 0.0997 0.8250
F9 0.4376 0.5405 0.3170
F10 0.0223 0.0997 0.3250
F11 0.5859 0.1690 0.4837
F12 0.9141 0.1690 0.9837

This record from the Alexandria database describes an optimized crystal structure of ScAlSb2. The functional is PBE-GGA.

Results
SG: P4/mmm (123)
Offset from the most stable computed form: 0.234 eV/atom
Spin magnetization: 0.000 μB/f.u.
ΔE_f (raw): -70 kJ/mol of formula units

Cell lengths 3.4929, 3.4929, 7.7631 Å; angles 90.00, 90.00, 90.00 degrees
Fractional coordinates of all 4 atoms:
Sc1 0.5000 0.5000 0.2500
Sb1 0.0000 0.0000 0.0071
Sb2 0.0000 0.0000 0.4929
Al1 0.5000 0.5000 0.7500